[1]
# NaThSnBi

An optimized crystal structure of NaThSnBi (PBE, the Alexandria database).

formation energy from the elements: -0.250 eV/atom

Geometry as POSCAR:
```
NaThSnBi
1.0
5.493 0.000 0.000
2.747 4.757 0.000
2.747 1.586 4.485
Na Bi Th Sn
1 1 1 1
direct
0.000 0.000 0.000
0.750 0.750 0.750
0.500 0.500 0.500
0.250 0.250 0.250
```

***

[2]
# LuZr2Sb

An optimized crystal structure of LuZr2Sb (PBE, the Alexandria database).

formation energy without anion corrections: 0.6 eV/f.u.

Geometry as POSCAR:
```
LuZr2Sb
1.0
-0.145 -2.629 1.862
2.274 -0.528 2.225
-5.343 4.618 8.895
Sb Lu Zr
1 1 2
direct
0.500 0.500 0.500
0.000 0.000 0.000
0.093 0.093 0.721
0.907 0.907 0.279
```

***

[3]
# Zr2H2S

An optimized crystal structure of Zr2H2S (PBE, the Alexandria database).

energy: -5.96 eV/atom

Geometry as POSCAR:
```
Zr2H2S
1.0
6.617 0.000 0.000
0.000 6.617 0.000
0.000 0.000 3.158
H S Zr
4 2 4
direct
0.119 0.619 0.500
0.619 0.881 0.500
0.881 0.381 0.500
0.381 0.119 0.500
0.000 0.000 0.000
0.500 0.500 0.000
0.340 0.840 0.000
0.840 0.660 0.000
0.660 0.160 0.000
0.160 0.340 0.000
```

***

[4]
# InSbBr2

An optimized crystal structure of InSbBr2 (PBE, the Alexandria database).

formation energy without anion corrections: -0.8 eV/f.u.

Geometry as POSCAR:
```
InSbBr2
1.0
-3.134 -2.662 -7.088
-0.611 -7.136 -3.982
-0.960 4.860 6.528
Sb Br In
1 2 1
direct
0.719 0.219 0.500
0.987 0.987 0.000
0.244 0.744 0.500
0.551 0.551 0.000
```

***

[5]
# Pr3PaS7

An optimized crystal structure of Pr3PaS7 (PBE, the Alexandria database).

formation energy without anion corrections: -20.5 eV/f.u.

Geometry as POSCAR:
```
Pr3PaS7
1.0
8.132 -0.019 0.000
-2.835 7.622 0.000
0.000 0.000 9.627
Pr Pa S
6 2 14
direct
0.495 0.495 0.500
0.505 0.505 0.000
0.546 0.998 0.251
0.454 0.002 0.751
0.998 0.546 0.749
0.002 0.454 0.249
0.000 0.000 0.500
0.000 0.000 0.000
0.661 0.916 0.532
0.339 0.084 0.032
0.916 0.661 0.468
0.084 0.339 0.968
0.087 0.340 0.529
0.913 0.660 0.029
0.340 0.087 0.471
0.660 0.913 0.971
0.372 0.628 0.250
0.628 0.372 0.750
0.635 0.365 0.250
0.365 0.635 0.750
0.920 0.080 0.250
0.080 0.920 0.750
```

***

[6]
# K2TlTcF8

An optimized crystal structure of K2TlTcF8 (PBE, the Alexandria database).

formation energy without anion corrections: -26.1 eV/f.u.

Geometry as POSCAR:
```
K2TlTcF8
1.0
5.297 0.000 0.000
-2.648 4.587 0.000
0.000 0.000 9.058
K Tl Tc F
2 1 1 8
direct
0.667 0.333 0.266
0.333 0.667 0.734
0.000 0.000 0.500
0.000 0.000 0.000
0.836 0.671 0.870
0.329 0.164 0.870
0.836 0.164 0.870
0.164 0.329 0.130
0.671 0.836 0.130
0.164 0.836 0.130
0.667 0.333 0.544
0.333 0.667 0.456
```

***

[7]
# Te2SeO

An optimized crystal structure of Te2SeO (PBE, the Alexandria database).

formation energy without anion corrections: 0.3 eV/f.u.

Geometry as POSCAR:
```
Te2SeO
1.0
5.221 0.000 0.000
0.000 5.221 0.000
2.611 2.611 7.506
Te O Se
4 2 2
direct
0.514 0.125 0.250
0.236 0.625 0.250
0.375 0.486 0.750
0.875 0.764 0.750
0.500 0.500 0.000
0.250 0.750 0.500
0.000 0.000 0.000
0.750 0.250 0.500
```

***

[8]
# KRbClF

An optimized crystal structure of KRbClF (PBE, the Alexandria database).

formation energy without anion corrections: -9.0 eV/f.u.

Geometry as POSCAR:
```
KRbClF
1.0
-2.096 -1.140 4.586
-4.237 -2.952 0.244
4.182 -10.344 2.253
K Rb Cl F
2 2 2 2
direct
0.785 0.785 0.644
0.215 0.215 0.356
0.625 0.625 0.124
0.375 0.375 0.876
0.117 0.117 0.649
0.883 0.883 0.351
0.707 0.707 0.879
0.293 0.293 0.121
```

***

[9]
# SmNbN2

An optimized crystal structure of SmNbN2 (PBE, the Alexandria database).

formation energy without anion corrections: -5.3 eV/f.u.

Geometry as POSCAR:
```
SmNbN2
1.0
-2.768 1.130 -1.524
-3.138 -1.461 4.618
1.709 10.033 4.335
Sm Nb N
4 4 8
direct
0.750 0.087 0.139
0.250 0.913 0.861
0.750 0.587 0.361
0.250 0.413 0.639
0.250 0.584 0.108
0.250 0.084 0.392
0.750 0.416 0.892
0.750 0.916 0.608
0.750 0.236 0.490
0.250 0.764 0.510
0.750 0.736 0.010
0.250 0.264 0.990
0.750 0.161 0.754
0.250 0.339 0.254
0.750 0.661 0.746
0.250 0.839 0.246
```

***

[10]
# Tm2Al3ZnCu12

An optimized crystal structure of Tm2Al3ZnCu12 (PBE, the Alexandria database).

formation energy from the elements: 0.040 eV/atom

Geometry as POSCAR:
```
Tm2Al3ZnCu12
1.0
-6.525 1.811 9.853
-1.719 0.649 11.814
-2.803 5.596 10.186
Tm Al Zn Cu
2 3 1 12
direct
0.643 0.643 0.643
0.357 0.357 0.357
0.500 0.000 0.000
0.000 0.500 0.000
0.000 0.000 0.500
0.000 0.000 0.000
0.400 0.400 0.870
0.886 0.886 0.394
0.394 0.886 0.886
0.870 0.400 0.400
0.886 0.394 0.886
0.400 0.870 0.400
0.600 0.600 0.130
0.114 0.114 0.606
0.606 0.114 0.114
0.130 0.600 0.600
0.114 0.606 0.114
0.600 0.130 0.600
```

***

[11]
# Tb4Hf

An optimized crystal structure of Tb4Hf (PBE, the Alexandria database).

formation energy from the elements: 0.610 eV/atom

Geometry as POSCAR:
```
Tb4Hf
1.0
-1.490 -2.965 -4.502
5.239 0.307 -1.936
1.274 -4.733 2.696
Tb Hf
4 1
direct
0.000 0.000 0.000
0.500 0.000 0.500
0.000 0.500 0.500
0.500 0.500 0.000
0.500 0.500 0.500
```

***

[12]
# Pu2Tl5F12

An optimized crystal structure of Pu2Tl5F12 (PBE, the Alexandria database).

formation energy without anion corrections: -49.9 eV/f.u.

Geometry as POSCAR:
```
Pu2Tl5F12
1.0
-4.288 -5.560 3.347
-3.611 -5.693 -4.955
2.795 -7.877 -0.377
Pu Tl F
2 5 12
direct
0.000 0.753 0.247
0.000 0.247 0.753
0.007 0.275 0.275
0.532 0.303 0.303
0.500 0.000 0.000
0.468 0.697 0.697
0.993 0.725 0.725
0.192 0.922 0.922
0.248 0.123 0.520
0.248 0.520 0.123
0.831 0.123 0.707
0.831 0.707 0.123
0.842 0.497 0.497
0.158 0.503 0.503
0.169 0.877 0.293
0.169 0.293 0.877
0.752 0.877 0.480
0.752 0.480 0.877
0.808 0.078 0.078
```

***

[13]
# TaRhSe2

An optimized crystal structure of TaRhSe2 (PBE, the Alexandria database).

formation energy without anion corrections: -2.0 eV/f.u.

Geometry as POSCAR:
```
TaRhSe2
1.0
3.919 0.000 0.000
0.000 3.899 -0.001
0.000 0.122 6.392
Rh Se Ta
1 2 1
direct
0.500 0.860 0.626
0.000 0.892 0.889
0.500 0.361 0.361
0.000 0.387 0.624
```

***

[14]
# LiSe

An optimized crystal structure of LiSe (PBE, the Alexandria database).

formation energy without anion corrections: -0.5 eV/f.u.

Geometry as POSCAR:
```
LiSe
1.0
11.096 0.020 0.012
10.665 3.063 0.012
10.665 1.511 2.665
Li Se
2 2
direct
0.997 0.997 0.997
0.753 0.753 0.753
0.475 0.475 0.475
0.275 0.275 0.275
```

***

[15]
# Pr2Sm3Dy5

An optimized crystal structure of Pr2Sm3Dy5 (PBE, the Alexandria database).

formation energy from the elements: 0.184 eV/atom

Geometry as POSCAR:
```
Pr2Sm3Dy5
1.0
2.492 -8.610 2.698
9.083 -0.260 2.238
-7.645 6.329 5.291
Pr Sm Dy
4 6 10
direct
0.774 0.014 0.743
0.226 0.986 0.257
0.469 0.729 0.743
0.531 0.271 0.257
0.230 0.980 0.960
0.770 0.020 0.040
0.730 0.470 0.248
0.270 0.530 0.752
0.018 0.778 0.248
0.982 0.222 0.752
0.276 0.526 0.051
0.724 0.474 0.949
0.022 0.772 0.544
0.528 0.278 0.555
0.978 0.228 0.456
0.472 0.722 0.445
0.864 0.608 0.745
0.136 0.392 0.255
0.382 0.137 0.745
0.618 0.863 0.255
```

***

[16]
# Te2WN2

An optimized crystal structure of Te2WN2 (PBE, the Alexandria database).

formation energy without anion corrections: 10.2 eV/f.u.

Geometry as POSCAR:
```
Te2WN2
1.0
3.984 0.000 0.000
0.000 3.984 0.000
0.000 0.000 7.425
Te W N
2 1 2
direct
0.000 0.000 0.000
0.000 0.000 0.500
0.500 0.500 0.500
0.000 0.500 0.000
0.500 0.000 0.000
```

***

[17]
# Pm2Tl3ZnSe6

An optimized crystal structure of Pm2Tl3ZnSe6 (PBE, the Alexandria database).

formation energy without anion corrections: -11.7 eV/f.u.

Geometry as POSCAR:
```
Pm2Tl3ZnSe6
1.0
7.279 0.022 -0.027
-3.619 6.315 -0.027
-1.248 -2.161 7.493
Pm Tl Zn Se
2 3 1 6
direct
0.336 0.664 0.000
0.664 0.336 0.000
0.174 0.826 0.500
0.826 0.174 0.500
0.500 0.500 0.500
0.000 0.000 0.000
0.931 0.623 0.798
0.747 0.747 0.223
0.069 0.377 0.202
0.623 0.931 0.798
0.253 0.253 0.777
0.377 0.069 0.202
```

***

[18]
# PaTl2Si3O12

An optimized crystal structure of PaTl2Si3O12 (PBE, the Alexandria database).

formation energy without anion corrections: -33.6 eV/f.u.

Geometry as POSCAR:
```
PaTl2Si3O12
1.0
-6.180 -1.550 3.305
-3.419 -6.269 -0.720
-0.573 -4.834 5.275
Pa Tl Si O
1 2 3 12
direct
0.000 0.000 0.000
0.611 0.611 0.611
0.389 0.389 0.389
0.500 0.000 0.000
0.000 0.500 0.000
0.000 0.000 0.500
0.302 0.302 0.925
0.921 0.921 0.367
0.367 0.921 0.921
0.925 0.302 0.302
0.921 0.367 0.921
0.302 0.925 0.302
0.698 0.698 0.075
0.079 0.079 0.633
0.633 0.079 0.079
0.075 0.698 0.698
0.079 0.633 0.079
0.698 0.075 0.698
```

***

[19]
# SrLiBi2Rh

An optimized crystal structure of SrLiBi2Rh (PBE, the Alexandria database).

formation energy from the elements: -0.316 eV/atom

Geometry as POSCAR:
```
SrLiBi2Rh
1.0
-0.135 0.359 -6.455
0.535 -5.976 -0.344
-7.379 2.344 0.285
Sr Li Bi Rh
2 2 4 2
direct
0.233 0.750 0.500
0.767 0.250 0.500
0.000 0.000 0.000
0.000 0.500 0.000
0.706 0.870 0.740
0.706 0.630 0.260
0.294 0.370 0.740
0.294 0.130 0.260
0.500 0.750 0.000
0.500 0.250 0.000
```

***

[20]
# LaCdRe4

An optimized crystal structure of LaCdRe4 (PBE, the Alexandria database).

formation energy from the elements: 0.335 eV/atom

Geometry as POSCAR:
```
LaCdRe4
1.0
3.635 -0.337 4.032
2.283 4.519 1.988
-1.302 1.737 4.988
La Cd Re
1 1 4
direct
0.000 0.000 0.000
0.750 0.750 0.750
0.874 0.375 0.375
0.375 0.375 0.874
0.375 0.874 0.375
0.375 0.375 0.375
```